Entry 1:
Compound: CoIrAu
Source: Alexandria via LeMat-Bulk
Functional: PBE
Structure: optimized geometry

Output
Total magnetic moment in Bohr magnetons per cell: 2.523
Energy relative to the lowest polymorph listed for this composition in meV per atom: 46

Cell and atoms, written as CIF:
```
data_CoIrAu
_chemical_formula_sum 'Co1 Ir1 Au1'
_space_group_name_H-M_alt 'P 3 m 1'
_space_group_IT_number 156
_cell_length_a 2.7613
_cell_length_b 2.7613
_cell_length_c 6.7308
_cell_angle_alpha 90.00
_cell_angle_beta 90.00
_cell_angle_gamma 120.00
loop_
_space_group_symop_operation_xyz
'x,y,z'
'-y,x-y,z'
'-x+y,-x,z'
'-y,-x,z'
'-x+y,y,z'
'x,x-y,z'
loop_
_atom_site_label
_atom_site_fract_x
_atom_site_fract_y
_atom_site_fract_z
Co1 0.0000 0.0000 0.0000
Ir1 0.3333 0.6667 0.7064
Au1 0.6667 0.3333 0.3350
```

=====

Entry 2:
Compound: CoIrAu
Source: Alexandria via LeMat-Bulk
Functional: PBE
Structure: optimized geometry

Output
Total magnetic moment in Bohr magnetons per cell: 9.129
Energy relative to the lowest polymorph listed for this composition in meV per atom: 80

Cell and atoms, written as CIF:
```
data_CoIrAu
_chemical_formula_sum 'Co4 Ir4 Au4'
_space_group_name_H-M_alt 'C m c m'
_space_group_IT_number 63
_space_group_name_Hall '-C 2c 2'
_cell_length_a 2.759
_cell_length_b 14.772
_cell_length_c 4.383
_cell_angle_alpha 90.00
_cell_angle_beta 90.00
_cell_angle_gamma 90.00
loop_
_atom_site_label
_atom_site_fract_x
_atom_site_fract_y
_atom_site_fract_z
Co1 0.000 0.099 0.250
Ir1 0.000 0.451 0.250
Au1 0.000 0.213 0.750
```

=====

Entry 3:
Compound: Co2Ir2Au
Source: Alexandria via LeMat-Bulk
Functional: PBE
Structure: optimized geometry

Output
Total magnetic moment in Bohr magnetons per cell: 8.607
Energy relative to the lowest polymorph listed for this composition in meV per atom: 12

Cell and atoms, written as CIF:
```
data_Co2Ir2Au
_chemical_formula_sum 'Co4 Ir4 Au2'
_space_group_name_H-M_alt 'P 4/m b m'
_space_group_IT_number 127
_space_group_name_Hall '-P 4 2ab'
_cell_length_a 7.280
_cell_length_b 7.280
_cell_length_c 2.690
_cell_angle_alpha 90.00
_cell_angle_beta 90.00
_cell_angle_gamma 90.00
loop_
_atom_site_label
_atom_site_fract_x
_atom_site_fract_y
_atom_site_fract_z
Co1 0.124 0.376 0.000
Ir1 0.168 0.668 0.500
Au1 0.000 0.000 0.000
```

=====

Entry 4:
Compound: CoIrAu
Source: Alexandria via LeMat-Bulk
Functional: PBE
Structure: optimized geometry

Output
Total magnetic moment in Bohr magnetons per cell: 7.937
Energy relative to the lowest polymorph listed for this composition in meV per atom: 20

Cell and atoms, written as CIF:
```
data_CoIrAu
_chemical_formula_sum 'Co4 Ir4 Au4'
_space_group_name_H-M_alt 'C 1 2/m 1'
_space_group_IT_number 12
_cell_length_a 9.066
_cell_length_b 2.767
_cell_length_c 7.701
_cell_angle_alpha 90.00
_cell_angle_beta 114.01
_cell_angle_gamma 90.00
loop_
_space_group_symop_operation_xyz
'x,y,z'
'-x,-y,-z'
'-x,y,-z'
'x,-y,z'
'x+1/2,y+1/2,z'
'-x+1/2,-y+1/2,-z'
'-x+1/2,y+1/2,-z'
'x+1/2,-y+1/2,z'
loop_
_atom_site_label
_atom_site_fract_x
_atom_site_fract_y
_atom_site_fract_z
Co1 0.003 0.000 0.236
Ir1 0.155 0.500 0.061
Au1 0.165 0.500 0.593
```

=====

Entry 5:
Compound: Co2IrAu
Source: Alexandria via LeMat-Bulk
Functional: PBE
Structure: optimized geometry

Output
Total magnetic moment in Bohr magnetons per cell: 11.725
Energy relative to the lowest polymorph listed for this composition in meV per atom: 41

Cell and atoms, written as CIF:
```
data_Co2IrAu
_chemical_formula_sum 'Co6 Ir3 Au3'
_space_group_name_H-M_alt 'R -3 m'
_space_group_IT_number 166
_space_group_name_Hall '-R 3 2"'
_cell_length_a 2.7258
_cell_length_b 2.7258
_cell_length_c 26.0561
_cell_angle_alpha 90.00
_cell_angle_beta 90.00
_cell_angle_gamma 120.00
loop_
_atom_site_label
_atom_site_fract_x
_atom_site_fract_y
_atom_site_fract_z
Co1 0.0000 0.0000 0.2456
Ir1 0.0000 0.0000 0.5000
Au1 0.0000 0.0000 0.0000
```

=====

Entry 6:
Compound: Co2IrAu
Source: Alexandria via LeMat-Bulk
Functional: PBE
Structure: optimized geometry

Output
Total magnetic moment in Bohr magnetons per cell: 9.467
Energy relative to the lowest polymorph listed for this composition in meV per atom: 75

Cell and atoms, written as CIF:
```
data_Co2IrAu
_chemical_formula_sum 'Co4 Ir2 Au2'
_space_group_name_H-M_alt 'I 4/m m m'
_space_group_IT_number 139
_space_group_name_Hall '-I 4 2'
_cell_length_a 3.888
_cell_length_b 3.888
_cell_length_c 7.295
_cell_angle_alpha 90.00
_cell_angle_beta 90.00
_cell_angle_gamma 90.00
loop_
_atom_site_label
_atom_site_fract_x
_atom_site_fract_y
_atom_site_fract_z
Co1 0.000 0.500 0.250
Ir1 0.000 0.000 0.000
Au1 0.000 0.000 0.500
```

=====

Entry 7:
Compound: Co3IrAu
Source: Alexandria via LeMat-Bulk
Functional: PBE
Structure: optimized geometry

Output
Total magnetic moment in Bohr magnetons per cell: 6.688
Energy relative to the lowest polymorph listed for this composition in meV per atom: 0

Cell and atoms, written as CIF:
```
data_Co3IrAu
_chemical_formula_sum 'Co3 Ir1 Au1'
_space_group_name_H-M_alt 'P m -3 m'
_space_group_IT_number 221
_space_group_name_Hall '-P 4 2 3'
_cell_length_a 4.544
_cell_length_b 4.544
_cell_length_c 4.544
_cell_angle_alpha 90.00
_cell_angle_beta 90.00
_cell_angle_gamma 90.00
loop_
_atom_site_label
_atom_site_fract_x
_atom_site_fract_y
_atom_site_fract_z
Co1 0.000 0.000 0.500
Ir1 0.000 0.000 0.000
Au1 0.500 0.500 0.500
```

=====

Entry 8:
Compound: CoIrAu2
Source: Alexandria via LeMat-Bulk
Functional: PBE
Structure: optimized geometry

Output
Total magnetic moment in Bohr magnetons per cell: 9.226
Energy relative to the lowest polymorph listed for this composition in meV per atom: 296

Cell and atoms, written as CIF:
```
data_CoIrAu2
_chemical_formula_sum 'Co4 Ir4 Au8'
_space_group_name_H-M_alt 'F m -3 m'
_space_group_IT_number 225
_space_group_name_Hall '-F 4 2 3'
_cell_length_a 6.308
_cell_length_b 6.308
_cell_length_c 6.308
_cell_angle_alpha 90.00
_cell_angle_beta 90.00
_cell_angle_gamma 90.00
loop_
_atom_site_label
_atom_site_fract_x
_atom_site_fract_y
_atom_site_fract_z
Co1 0.000 0.000 0.000
Ir1 0.000 0.000 0.500
Au1 0.250 0.250 0.250
```

=====

Entry 9:
Compound: Co2Ir2Au
Source: Alexandria via LeMat-Bulk
Functional: PBE
Structure: optimized geometry

Output
Total magnetic moment in Bohr magnetons per cell: 8.704
Energy relative to the lowest polymorph listed for this composition in meV per atom: 0

Cell and atoms, written as CIF:
```
data_Co2Ir2Au
_chemical_formula_sum 'Co4 Ir4 Au2'
_space_group_name_H-M_alt 'P 4/m b m'
_space_group_IT_number 127
_space_group_name_Hall '-P 4 2ab'
_cell_length_a 7.315
_cell_length_b 7.315
_cell_length_c 2.702
_cell_angle_alpha 90.00
_cell_angle_beta 90.00
_cell_angle_gamma 90.00
loop_
_atom_site_label
_atom_site_fract_x
_atom_site_fract_y
_atom_site_fract_z
Co1 0.167 0.333 0.000
Ir1 0.128 0.628 0.500
Au1 0.000 0.000 0.500
```

=====

Entry 10:
Compound: CoIrAu2
Source: Alexandria via LeMat-Bulk
Functional: PBE
Structure: optimized geometry

Output
Total magnetic moment in Bohr magnetons per cell: 4.738
Energy relative to the lowest polymorph listed for this composition in meV per atom: 139

Cell and atoms, written as CIF:
```
data_CoIrAu2
_chemical_formula_sum 'Co2 Ir2 Au4'
_space_group_name_H-M_alt 'C 1 m 1'
_space_group_IT_number 8
_cell_length_a 9.282
_cell_length_b 2.829
_cell_length_c 4.845
_cell_angle_alpha 90.00
_cell_angle_beta 101.94
_cell_angle_gamma 90.00
loop_
_space_group_symop_operation_xyz
'x,y,z'
'x,-y,z'
'x+1/2,y+1/2,z'
'x+1/2,-y+1/2,z'
loop_
_atom_site_label
_atom_site_fract_x
_atom_site_fract_y
_atom_site_fract_z
Co1 0.000 0.000 0.000
Ir1 0.269 0.000 0.794
Au1 0.012 0.500 0.527
Au2 0.251 0.500 0.270
```

=====

Entry 11:
Compound: CoIrAu2
Source: Alexandria via LeMat-Bulk
Functional: PBE
Structure: optimized geometry

Output
Total magnetic moment in Bohr magnetons per cell: 2.403
Energy relative to the lowest polymorph listed for this composition in meV per atom: 252

Cell and atoms, written as CIF:
```
data_CoIrAu2
_chemical_formula_sum 'Co1 Ir1 Au2'
_space_group_name_H-M_alt 'P 4/m m m'
_space_group_IT_number 123
_space_group_name_Hall '-P 4 2'
_cell_length_a 4.596
_cell_length_b 4.596
_cell_length_c 2.969
_cell_angle_alpha 90.00
_cell_angle_beta 90.00
_cell_angle_gamma 90.00
loop_
_atom_site_label
_atom_site_fract_x
_atom_site_fract_y
_atom_site_fract_z
Co1 0.000 0.000 0.000
Ir1 0.500 0.500 0.000
Au1 0.000 0.500 0.500
```

=====

Entry 12:
Compound: CoIrAu
Source: Alexandria via LeMat-Bulk
Functional: PBE
Structure: optimized geometry

Output
Total magnetic moment in Bohr magnetons per cell: 4.333
Energy relative to the lowest polymorph listed for this composition in meV per atom: 87

Cell and atoms, written as CIF:
```
data_CoIrAu
_chemical_formula_sum 'Co2 Ir2 Au2'
_space_group_name_H-M_alt 'P m m 2'
_space_group_IT_number 25
_cell_length_a 2.732
_cell_length_b 4.228
_cell_length_c 7.787
_cell_angle_alpha 90.00
_cell_angle_beta 90.00
_cell_angle_gamma 90.00
loop_
_space_group_symop_operation_xyz
'x,y,z'
'-x,-y,z'
'-x,y,z'
'x,-y,z'
loop_
_atom_site_label
_atom_site_fract_x
_atom_site_fract_y
_atom_site_fract_z
Co1 0.000 0.000 0.000
Co2 0.500 0.500 0.095
Ir1 0.000 0.500 0.822
Ir2 0.500 0.000 0.702
Au1 0.000 0.500 0.472
Au2 0.500 0.000 0.299
```

=====

Entry 13:
Compound: Co2IrAu
Source: Alexandria via LeMat-Bulk
Functional: PBE
Structure: optimized geometry

Output
Total magnetic moment in Bohr magnetons per cell: 18.585
Energy relative to the lowest polymorph listed for this composition in meV per atom: 157

Cell and atoms, written as CIF:
```
data_Co2IrAu
_chemical_formula_sum 'Co8 Ir4 Au4'
_space_group_name_H-M_alt 'F m -3 m'
_space_group_IT_number 225
_space_group_name_Hall '-F 4 2 3'
_cell_length_a 6.055
_cell_length_b 6.055
_cell_length_c 6.055
_cell_angle_alpha 90.00
_cell_angle_beta 90.00
_cell_angle_gamma 90.00
loop_
_atom_site_label
_atom_site_fract_x
_atom_site_fract_y
_atom_site_fract_z
Co1 0.250 0.250 0.250
Ir1 0.000 0.000 0.000
Au1 0.000 0.000 0.500
```

=====

Entry 14:
Compound: Co4IrAu
Source: Alexandria via LeMat-Bulk
Functional: PBE
Structure: optimized geometry

Output
Total magnetic moment in Bohr magnetons per cell: 31.873

Cell and atoms, written as CIF:
```
data_Co4IrAu
_chemical_formula_sum 'Co16 Ir4 Au4'
_space_group_name_H-M_alt 'F -4 3 m'
_space_group_IT_number 216
_space_group_name_Hall 'F -4 2 3'
_cell_length_a 6.741
_cell_length_b 6.741
_cell_length_c 6.741
_cell_angle_alpha 90.00
_cell_angle_beta 90.00
_cell_angle_gamma 90.00
loop_
_atom_site_label
_atom_site_fract_x
_atom_site_fract_y
_atom_site_fract_z
Co1 0.125 0.125 0.125
Ir1 0.250 0.250 0.750
Au1 0.000 0.000 0.500
```

=====

| no. | theoretical density (g/cm³) | E_form (kJ/mol of atoms) | energy (eV/f.u.) |
| --- | --- | --- | --- |
| 1 | 16.74 | 19.20 | -18.647 |
| 2 | 16.67 | 22.52 | -18.544 |
| 3 | 16.29 | 26.00 | -33.864 |
| 4 | 16.87 | 16.72 | -18.724 |
| 5 | 15.07 | 20.16 | -25.514 |
| 6 | 15.27 | 23.38 | -25.381 |
| 7 | 10.02 | 129.76 | -26.731 |
| 8 | 17.07 | 44.90 | -20.660 |
| 9 | 16.06 | 24.87 | -33.922 |
| 10 | 17.21 | 29.80 | -21.286 |
| 11 | 17.08 | 40.67 | -20.835 |
| 12 | 16.55 | 23.13 | -18.525 |
| 13 | 15.17 | 31.31 | -25.052 |
| 14 | 13.55 | 17.23 | -39.490 |